[1]
Computed, not measured: a relaxed structure of Ba6As2HBr3 at the PBE-GGA level of DFT.

## Properties
**Final energy**: -45.420 eV/f.u.
**Space group**: C2/m, No. 12
**ρ**: 4.57 g/cm3
**Magnetization**: 0.0000 μB/atom
**Fermi-level density of states**: 5.4 states/eV/f.u.

a = 8.0702 Å, b = 8.0702 Å, c = 8.2784 Å
α = 99.40°, β = 99.40°, γ = 120.00°
With the nearest neighbours (Å) after each atom.
Element x y z (fractional)
Ba1 0.0913 0.4249 0.7755  2 As 3.21-3.22, 1 H 3.21, 3 Br 3.40-3.45
Ba2 0.2415 0.2415 0.2263  2 As 3.21, 1 H 3.23, 3 Br 3.44-3.48
Ba3 0.4249 0.0913 0.7755  2 As 3.21-3.22, 1 H 3.21, 3 Br 3.40-3.45
Ba4 0.5751 0.9087 0.2245  2 As 3.21-3.22, 1 H 3.21, 3 Br 3.40-3.45
Ba5 0.7585 0.7585 0.7737  2 As 3.21, 1 H 3.23, 3 Br 3.44-3.48
Ba6 0.9087 0.5751 0.2245  2 As 3.21-3.22, 1 H 3.21, 3 Br 3.40-3.45
As1 0.1662 0.8338 0.0000  6 Ba 3.21-3.22
As2 0.8338 0.1662 0.0000  6 Ba 3.21-3.22
H1 0.5000 0.5000 0.0000  6 Ba 3.21-3.23
Br1 0.0000 0.0000 0.5000  6 Ba 3.44-3.45
Br2 0.3290 0.6710 0.5000  6 Ba 3.40-3.48
Br3 0.6710 0.3290 0.5000  6 Ba 3.40-3.48



[2]
Computed, not measured: a relaxed structure of Ta2MoCl at the PBE-GGA level of DFT.

## Properties
**Space group**: P4/mmm, No. 123
**ρ**: 12.01 g/cm3
**Magnetization**: 0.0000 μB/atom
**E_form (uncorrected)**: 0.57 eV/atom
**Fermi-level density of states**: 4.3 states/eV/f.u.

a = 4.7247 Å, b = 4.7247 Å, c = 3.0562 Å
α = 90.00°, β = 90.00°, γ = 90.00°
With the nearest neighbours (Å) after each atom.
Element x y z (fractional)
Ta1 0.0000 0.5000 0.0000  4 Cl 2.81, 4 Mo 2.81, 2 Ta 3.06
Ta2 0.5000 0.0000 0.0000  4 Cl 2.81, 4 Mo 2.81, 2 Ta 3.06
Mo1 0.0000 0.0000 0.5000  8 Ta 2.81, 2 Mo 3.06
Cl1 0.5000 0.5000 0.5000  8 Ta 2.81, 2 Cl 3.06



[3]
Computed, not measured: a relaxed structure of CaLaI2 at the PBE-GGA level of DFT.

## Properties
**Space group**: R-3m, No. 166
**ρ**: 4.53 g/cm3
**Magnetization**: 0.1677 μB/atom
**E_form (uncorrected)**: -0.86 eV/atom
**Fermi-level density of states**: 4.0 states/eV/f.u.

a = 10.8985 Å, b = 10.8985 Å, c = 10.8985 Å
α = 21.95°, β = 21.95°, γ = 21.95°
With the nearest neighbours (Å) after each atom.
Element x y z (fractional)
Ca1 0.0000 0.0000 0.0000  6 I 3.11
La1 0.5000 0.5000 0.5000  2 I 3.33
I1 0.3956 0.3956 0.3956  3 Ca 3.11, 1 La 3.33
I2 0.6044 0.6044 0.6044  3 Ca 3.11, 1 La 3.33



[4]
Computed, not measured: a relaxed structure of ErAg7F12 at the PBE-GGA level of DFT.

## Properties
**Space group**: R-3, No. 148
**ρ**: 5.82 g/cm3
**Magnetization**: 0.0621 μB/atom
**E_form (uncorrected)**: -1.60 eV/atom
**Fermi-level density of states**: 13.1 states/eV/f.u.

a = 7.8315 Å, b = 7.8315 Å, c = 7.8315 Å
α = 112.13°, β = 112.13°, γ = 112.13°
With the nearest neighbours (Å) after each atom.
Element x y z (fractional)
Er1 0.0000 0.0000 0.0000  6 F 2.17
Ag1 0.1208 0.6802 0.2595  3 F 2.18-2.44
Ag2 0.2595 0.1208 0.6802  3 F 2.18-2.44
Ag3 0.3198 0.7405 0.8792  3 F 2.18-2.44
Ag4 0.5000 0.5000 0.5000  6 F 2.65
Ag5 0.6802 0.2595 0.1208  3 F 2.18-2.44
Ag6 0.7405 0.8792 0.3198  3 F 2.18-2.44
Ag7 0.8792 0.3198 0.7405  3 F 2.18-2.44
F1 0.0629 0.3249 0.2104  1 Er 2.17
F2 0.1367 0.3279 0.6752  3 Ag 2.18-2.44
F3 0.2104 0.0629 0.3249  1 Er 2.17
F4 0.3249 0.2104 0.0629  1 Er 2.17
F5 0.3248 0.8633 0.6721  3 Ag 2.18-2.44
F6 0.3279 0.6752 0.1367  3 Ag 2.18-2.44
F7 0.6721 0.3248 0.8633  3 Ag 2.18-2.44
F8 0.6752 0.1367 0.3279  3 Ag 2.18-2.44
F9 0.6751 0.7896 0.9371  1 Er 2.17
F10 0.7896 0.9371 0.6751  1 Er 2.17
F11 0.8633 0.6721 0.3248  3 Ag 2.18-2.44
F12 0.9371 0.6751 0.7896  1 Er 2.17